Below is crystalline InTeIrCl at its relaxed geometry, with properties calculated at the PBE level.

It has space group Cm (No. 8), with a = 7.469 Å, b = 4.990 Å, c = 5.273 Å, α = 90.00°, β = 101.26° and γ = 90.00°. Symmetry generates all atoms from In at (0.000, 0.000, 0.000), Te at (0.211, 0.500, 0.412), Ir at (0.080, 0.000, 0.517) and Cl at (0.352, 0.000, 0.858).

The calculation puts the uncorrected formation energy at -0.12 eV/atom. The calculation puts the offset from the most stable computed form at 0.245 eV/atom. Its volume is 24.1 A^3/atom. As for the crystal system: monoclinic. The value obtained for the final energy is -4.2658 eV/atom.

---

Below is crystalline InTeIrCl at its relaxed geometry, with properties calculated at the PBE level.

It has space group R3m (No. 160, hexagonal axes), with a = 3.7137 Å, b = 3.7137 Å, c = 25.3522 Å, α = 90.00°, β = 90.00° and γ = 120.00°. Symmetry generates all atoms from In at (0.0000, 0.0000, 0.0000), Te at (0.0000, 0.0000, 0.8697), Ir at (0.0000, 0.0000, 0.5955) and Cl at (0.0000, 0.0000, 0.0950).

The calculation puts the uncorrected formation energy at -0.31 eV/atom. The calculation puts the offset from the most stable computed form at 0.055 eV/atom. Its volume is 25.2 A^3/atom. As for the crystal system: trigonal. The value obtained for the final energy is -4.4561 eV/atom.